# 1
{"formula": "CeTh2S4", "functional": "PBE-GGA", "state": "optimized geometry", "lattice_angstrom": [[1.971, -6.722, 0.000], [1.971, 6.722, 0.000], [0.000, 0.000, 13.227]], "species": ["Ce", "Ce", "Th", "Th", "Th", "Th", "S", "S", "S", "S", "S", "S", "S", "S"], "frac_coords": [[0.122, 0.878, 0.750], [0.878, 0.122, 0.250], [0.362, 0.638, 0.566], [0.362, 0.638, 0.934], [0.638, 0.362, 0.066], [0.638, 0.362, 0.434], [0.000, 0.000, 0.000], [0.000, 0.000, 0.500], [0.274, 0.726, 0.131], [0.274, 0.726, 0.369], [0.469, 0.531, 0.750], [0.531, 0.469, 0.250], [0.726, 0.274, 0.631], [0.726, 0.274, 0.869]], "formation_energy_uncorrected_mev_per_atom": -1864, "vol_a3_per_atom": 25.0, "e_above_lowest_polymorph_mev_per_atom": 44, "dft_energy_ry_per_atom": -0.52850, "space_group": "Cmcm, No. 63"}



# 2
{"formula": "Ce6ThS8", "functional": "PBE-GGA", "state": "optimized geometry", "lattice_angstrom": [[0.000, 5.679, 5.679], [5.679, 0.000, 5.679], [5.679, 5.679, 0.000]], "species": ["Ce", "Ce", "Ce", "Ce", "Ce", "Ce", "Th", "S", "S", "S", "S", "S", "S", "S", "S"], "frac_coords": [[0.000, 0.000, 0.500], [0.000, 0.500, 0.000], [0.000, 0.500, 0.500], [0.500, 0.000, 0.000], [0.500, 0.000, 0.500], [0.500, 0.500, 0.000], [0.000, 0.000, 0.000], [0.250, 0.250, 0.250], [0.252, 0.252, 0.748], [0.252, 0.748, 0.252], [0.252, 0.748, 0.748], [0.748, 0.252, 0.252], [0.748, 0.252, 0.748], [0.748, 0.748, 0.252], [0.750, 0.750, 0.750]], "formation_energy_uncorrected_mev_per_atom": -1996, "vol_a3_per_atom": 24.4, "dft_energy_ry_per_atom": -0.51933, "space_group": "Fm-3m, No. 225"}